This record from Alexandria via LeMat-Bulk describes crystalline BaSrH at its relaxed geometry. The functional is PBE.

Structure (POSCAR):
```
BaSrH
1.0
4.367 0.000 0.000
-2.184 3.782 0.000
0.000 0.000 21.017
Ba Sr H
3 3 3
direct
0.000 0.000 0.529
0.333 0.667 0.196
0.667 0.333 0.863
0.000 0.000 0.041
0.333 0.667 0.708
0.667 0.333 0.375
0.000 0.000 0.160
0.333 0.667 0.826
0.667 0.333 0.493
```

Output
As for the density: 3.242 g/cm³. For the density of states at the Fermi level, the calculation gives 1.02 states/eV/atom. The value obtained for the magnetization is 1.78 μB per cell. For the uncorrected energy, the calculation gives -2.53 eV/atom. The offset from the most stable computed form is 0.021 eV/atom.